Record 1
NbCoW3 after structural relaxation. Source: the Alexandria database, functional GGA-PBE.

Geometry as POSCAR:
```
NbCoW3
1.0
4.713 0.000 0.000
0.000 4.713 0.000
0.000 0.000 4.713
Nb Co W
1 1 3
direct
0.000 0.000 0.000
0.500 0.500 0.500
0.000 0.000 0.500
0.000 0.500 0.000
0.500 0.000 0.000
```

Output
SG	No. 221
energy above the most stable polymorph in this dataset	1393.6	meV per atom


Record 2
Li4Ca5Mg2 after structural relaxation. Source: the Alexandria database, functional GGA-PBE.

Geometry as POSCAR:
```
Li4Ca5Mg2
1.0
9.096 0.000 0.000
0.000 19.661 0.000
0.000 0.000 3.892
Li Ca Mg
8 10 4
direct
0.130 0.158 0.000
0.202 0.438 0.000
0.298 0.938 0.000
0.370 0.658 0.000
0.630 0.342 0.000
0.702 0.062 0.000
0.798 0.562 0.000
0.870 0.842 0.000
0.000 0.000 0.500
0.117 0.577 0.500
0.192 0.804 0.500
0.308 0.304 0.500
0.383 0.077 0.500
0.500 0.500 0.500
0.617 0.923 0.500
0.692 0.696 0.500
0.808 0.196 0.500
0.883 0.423 0.500
0.006 0.301 0.000
0.494 0.801 0.000
0.506 0.199 0.000
0.994 0.699 0.000
```

Output
SG	No. 55


Record 3
NdY2Tm9 after structural relaxation. Source: the Alexandria database, functional GGA-PBE.

Geometry as POSCAR:
```
NdY2Tm9
1.0
4.978 0.000 0.000
0.000 4.978 0.000
0.000 0.000 14.922
Nd Y Tm
1 2 9
direct
0.000 0.000 0.000
0.000 0.000 0.334
0.000 0.000 0.666
0.000 0.500 0.168
0.000 0.500 0.500
0.000 0.500 0.832
0.500 0.000 0.168
0.500 0.000 0.500
0.500 0.000 0.832
0.500 0.500 0.000
0.500 0.500 0.334
0.500 0.500 0.666
```

Output
SG	No. 123
energy above the most stable polymorph in this dataset	0.0	meV per atom


Number 1: ΔH_f (0 K) 253.7 kJ/mol of atoms. Number 2: ΔH_f (0 K) 3.5 kJ/mol of atoms. Number 3: ΔH_f (0 K) 2.8 kJ/mol of atoms.